First-principles (GGA-PBE) data for Tb2SeCl3 after structural relaxation, as listed in Alexandria.

Results
Theoretical density   4.730 g/cm³
Crystal system   monoclinic
ΔE_f (raw)   -1.97 eV/atom

a = 4.162 Å, b = 8.364 Å, c = 10.721 Å
α = 82.52°, β = 78.81°, γ = 75.59°
Element x y z (fractional)
Tb  0.396  0.761  0.447
Tb  0.130  0.575  0.165
Tb  0.604  0.239  0.553
Tb  0.870  0.425  0.835
Cl  0.661  0.686  0.991
Cl  0.935  0.859  0.271
Cl  0.768  0.875  0.589
Cl  0.339  0.314  0.009
Cl  0.232  0.125  0.411
Cl  0.065  0.141  0.729
Se  0.385  0.547  0.682
Se  0.615  0.453  0.318